Entry 1:
GGA-PBE La4SmDy2Y2, relaxed; D(E_F) = 13.17 states/eV per cell; formation energy = 0.027 eV per atom; total magnetic moment = 0.000 μB/f.u.
1.0
9.549 -1.841 0.000
9.549 1.841 0.000
-4.262 0.000 8.853
La Sm Dy Y
4 1 2 2
Direct
0.019 0.019 0.334
0.315 0.315 0.669
0.685 0.685 0.331
0.981 0.981 0.666
0.500 0.500 0.000
0.350 0.350 0.324
0.650 0.650 0.676
0.168 0.168 0.998
0.832 0.832 0.002

Entry 2:
GGA-PBE SrHfN2, relaxed; D(E_F) = 0.00 states/eV per cell; ΔE_f (raw) = -547 kJ/mol of formula units; total magnetic moment = 0.000 μB/f.u.
1.0
4.042 0.000 0.000
0.000 4.042 0.000
0.000 0.000 8.279
Sr Hf N
2 2 4
Direct
0.250 0.250 0.142
0.750 0.750 0.858
0.250 0.250 0.593
0.750 0.750 0.407
0.250 0.250 0.835
0.250 0.750 0.500
0.750 0.250 0.500
0.750 0.750 0.165

Entry 3:
GGA-PBE CuTc2, relaxed; D(E_F) = 18.05 states/eV per cell; formation energy = 1.054 eV per atom; total magnetic moment = 0.001 μB/f.u.
1.0
5.786 0.000 0.000
0.000 5.786 0.000
0.000 0.000 5.786
Cu Tc
4 8
Direct
0.000 0.000 0.000
0.000 0.500 0.500
0.500 0.000 0.500
0.500 0.500 0.000
0.111 0.611 0.889
0.111 0.889 0.389
0.389 0.111 0.889
0.389 0.389 0.389
0.611 0.611 0.611
0.611 0.889 0.111
0.889 0.111 0.611
0.889 0.389 0.111

Entry 4:
GGA-PBE Y4Er8Sc, relaxed; D(E_F) = 20.01 states/eV per cell; formation energy = 0.191 eV per atom; total magnetic moment = 0.000 μB/f.u.
1.0
3.721 2.148 8.463
-3.721 2.148 8.463
0.000 -4.296 8.463
Y Er Sc
4 8 1
Direct
0.000 0.000 0.000
0.000 0.500 0.500
0.500 0.000 0.500
0.500 0.500 0.000
0.180 0.746 0.746
0.222 0.222 0.222
0.254 0.254 0.820
0.254 0.820 0.254
0.746 0.180 0.746
0.746 0.746 0.180
0.778 0.778 0.778
0.820 0.254 0.254
0.500 0.500 0.500

Entry 5:
GGA-PBE InCo2Tc, relaxed; D(E_F) = 6.87 states/eV per cell; formation energy = 0.410 eV per atom; total magnetic moment = 4.526 μB/f.u.
1.0
0.000 3.075 3.075
3.075 0.000 3.075
3.075 3.075 0.000
In Co Tc
1 2 1
Direct
0.000 0.000 0.000
0.500 0.500 0.500
0.750 0.750 0.750
0.250 0.250 0.250

Entry 6:
GGA-PBE Ac12SmY5, relaxed; D(E_F) = 27.23 states/eV per cell; formation energy = 0.048 eV per atom; total magnetic moment = 0.000 μB/f.u.
1.0
10.051 -5.756 0.000
10.051 5.756 0.000
-2.194 0.000 6.324
Ac Sm Y
12 1 5
Direct
0.001 0.332 0.500
0.165 0.835 0.000
0.168 0.499 0.000
0.332 0.001 0.500
0.334 0.666 0.500
0.499 0.168 0.000
0.501 0.832 0.000
0.666 0.334 0.500
0.668 0.999 0.500
0.832 0.501 0.000
0.835 0.165 0.000
0.999 0.668 0.500
0.500 0.500 0.000
0.000 0.000 0.500
0.167 0.167 0.000
0.333 0.333 0.499
0.667 0.667 0.501
0.833 0.833 0.000

Entry 7:
GGA-PBE Cs3RbCd2Br8, relaxed; D(E_F) = 0.00 states/eV per cell; ΔE_f (raw) = -1865 kJ/mol of formula units; total magnetic moment = 0.162 μB/f.u.
1.0
8.515 0.000 0.000
-4.257 7.374 0.000
0.000 0.000 10.384
Cs Rb Cd Br
3 1 2 8
Direct
0.000 0.000 0.000
0.333 0.667 0.606
0.667 0.333 0.394
0.000 0.000 0.500
0.333 0.667 0.189
0.667 0.333 0.811
0.171 0.343 0.298
0.171 0.829 0.298
0.333 0.667 0.942
0.343 0.171 0.702
0.657 0.829 0.298
0.667 0.333 0.058
0.829 0.171 0.702
0.829 0.657 0.702

Entry 8:
GGA-PBE HfTa2AlSn, relaxed; D(E_F) = 5.71 states/eV per cell; formation energy = 1.534 eV per atom; total magnetic moment = 0.000 μB/f.u.
1.0
4.994 0.000 0.000
0.000 4.994 0.000
0.000 0.000 5.084
Hf Ta Al Sn
1 2 1 1
Direct
0.000 0.000 0.000
0.000 0.500 0.000
0.500 0.000 0.000
0.000 0.000 0.500
0.500 0.500 0.500

Entry 9:
GGA-PBE Th2Fe2Au, relaxed; D(E_F) = 5.75 states/eV per cell; formation energy = -0.287 eV per atom; total magnetic moment = 2.367 μB/f.u.
1.0
1.942 -6.966 0.000
1.942 6.966 0.000
0.000 0.000 3.908
Th Fe Au
2 2 1
Direct
0.133 0.867 0.000
0.867 0.133 0.000
0.295 0.705 0.500
0.705 0.295 0.500
0.500 0.500 0.500

Entry 10:
GGA-PBE RbVCd2Cl8, relaxed; D(E_F) = 8.06 states/eV per cell; ΔE_f (raw) = -1437 kJ/mol of formula units; total magnetic moment = 2.000 μB/f.u.
1.0
5.298 -3.594 0.000
5.298 3.594 0.000
-0.724 0.000 9.529
Rb V Cd Cl
1 1 2 8
Direct
0.000 0.000 0.000
0.000 0.000 0.500
0.362 0.362 0.699
0.638 0.638 0.301
0.207 0.742 0.320
0.222 0.222 0.475
0.258 0.793 0.680
0.312 0.312 0.940
0.688 0.688 0.060
0.742 0.207 0.320
0.778 0.778 0.525
0.793 0.258 0.680

Entry 11:
GGA-PBE Ba2InPtAu, relaxed; D(E_F) = 3.53 states/eV per cell; formation energy = -0.505 eV per atom; total magnetic moment = 0.000 μB/f.u.
1.0
6.110 0.000 0.000
0.000 6.110 0.000
0.000 0.000 5.133
Ba In Pt Au
2 1 1 1
Direct
0.000 0.500 0.000
0.500 0.000 0.000
0.000 0.000 0.500
0.000 0.000 0.000
0.500 0.500 0.500

Entry 12:
GGA-PBE KHgBr2O, relaxed; D(E_F) = 11.25 states/eV per cell; ΔE_f (raw) = -55 kJ/mol of formula units; total magnetic moment = 1.350 μB/f.u.
1.0
5.379 0.000 0.000
0.000 5.379 0.000
0.000 0.000 7.965
K Hg Br O
1 1 2 1
Direct
0.000 0.000 0.000
0.000 0.000 0.500
0.000 0.500 0.500
0.500 0.000 0.500
0.500 0.500 0.000

Question: Among the records above, which one has the highest total magnetic moment?
Answer: InCo2Tc

Question: The highest total magnetic moment belongs to which entry?
Answer: InCo2Tc